The following is a DFT calculation (GGA-PBE) of an optimized crystal structure of ZnFe2Hg.

Computed properties:
The magnetization comes out at 1.227 μB/atom. For the total energy, the calculation gives -4.351 eV per atom. The energy relative to the elements is 0.274 eV per atom.

```
4
Lattice="4.2965 0.0000 0.0000 0.0000 2.7545 -0.0521 0.0000 0.2515 5.0409" Properties=species:S:1:pos:R:3 pbc="T T T"
Fe 0.0000 0.4642 4.9426
Fe 2.1482 0.5161 1.1938
Hg 0.0000 1.8252 2.3574
Zn 2.1482 1.9551 4.0304
```

***

The following is a DFT calculation (GGA-PBE) of an optimized crystal structure of Zn2FeHg.

Computed properties:
The magnetization comes out at 0.567 μB/atom. For the total energy, the calculation gives -2.591 eV per atom. The energy relative to the elements is 0.237 eV per atom.

```
4
Lattice="3.7366 0.0000 0.0000 0.0000 2.8401 0.2648 0.0000 2.2976 6.1653" Properties=species:S:1:pos:R:3 pbc="T T T"
Fe 0.0000 2.5880 3.0061
Hg 1.8683 3.8595 4.7690
Zn 0.0000 2.8243 0.4298
Zn 1.8683 1.2747 1.7050
```

***

The following is a DFT calculation (GGA-PBE) of an optimized crystal structure of Zn2FeHg.

Computed properties:
The magnetization comes out at 0.545 μB/atom. For the total energy, the calculation gives -2.569 eV per atom. The energy relative to the elements is 0.259 eV per atom.

```
4
Lattice="5.0046 -0.0002 0.0000 2.0268 4.5758 0.0000 -3.5157 -2.2878 2.7298" Properties=species:S:1:pos:R:3 pbc="T T T"
Fe 3.5157 2.2878 0.0000
Hg 2.5023 -0.0001 1.3649
Zn 0.0000 0.0000 0.0000
Zn 1.0134 2.2879 1.3649
```

***

The following is a DFT calculation (GGA-PBE) of an optimized crystal structure of Zn2FeHg.

Computed properties:
The magnetization comes out at 0.573 μB/atom. For the total energy, the calculation gives -2.539 eV per atom. The energy relative to the elements is 0.289 eV per atom.

```
4
Lattice="4.8914 0.0302 0.0000 1.6618 4.6006 0.0000 -3.2766 -2.3154 2.7981" Properties=species:S:1:pos:R:3 pbc="T T T"
Fe 0.8309 2.3003 1.3991
Hg 2.4457 0.0151 1.3991
Zn 0.0000 0.0000 0.0000
Zn 3.2766 2.3154 0.0000
```

***

The following is a DFT calculation (GGA-PBE) of an optimized crystal structure of Zn2FeHg.

Computed properties:
The magnetization comes out at 0.570 μB/atom. For the total energy, the calculation gives -2.599 eV per atom. The energy relative to the elements is 0.229 eV per atom.

```
4
Lattice="-0.7878 1.0306 4.5910 0.2038 -1.6186 4.4832 4.5339 1.6389 1.4269" Properties=species:S:1:pos:R:3 pbc="T T T"
Fe 2.9623 0.7882 7.8757
Hg 0.9874 0.2627 2.6252
Zn 4.3663 1.5740 1.4805
Zn 2.1425 0.5904 5.1968
```

***

The following is a DFT calculation (GGA-PBE) of an optimized crystal structure of Zn2FeHg.

Computed properties:
The magnetization comes out at 0.566 μB/atom. For the total energy, the calculation gives -2.585 eV per atom. The energy relative to the elements is 0.243 eV per atom.

```
4
Lattice="4.8617 -0.0313 0.0000 -1.6755 4.5640 0.0000 0.0000 0.0000 2.8586" Properties=species:S:1:pos:R:3 pbc="T T T"
Fe 2.4309 -0.0157 1.4293
Hg -0.8378 2.2820 1.4293
Zn 0.0000 0.0000 0.0000
Zn 1.5931 2.2663 0.0000
```

***

Q: Which value of magnetization does entry 2 give?
A: 0.567 μB/atom

***

Q: Among the records above, which one has the highest magnetization?
A: ZnFe2Hg

***

Q: Which formula does entry 6 have?
A: Zn2FeHg